Entry 1:
Density functional theory data (GGA-PBEsol) for a relaxed LaMnCo2 crystal.

Calculated total energy: -7.21 eV per atom
ΔE_f: 0.434 eV/atom
Size of the total moment: 11.7 μB/cell
Volume: 124 Å³/cell

Lattice parameters (Å, degrees): 3.738 3.738 8.888 90.00 90.00 90.00
Space group I-4m2 (No. 119)
One atom of each set of equivalent atoms:
La (0.000, 0.000, 0.000) [2 per cell]
Mn (0.000, 0.500, 0.250) [2 per cell]
Co (0.000, 0.000, 0.500) [2 per cell]
Co (0.000, 0.500, 0.750) [2 per cell]

=====

Entry 2:
Density functional theory data (GGA-PBEsol) for a relaxed NaHfMo3 crystal.

Calculated total energy: -7.38 eV per atom
ΔE_f: 2.066 eV/atom
Size of the total moment: 0.0 μB/cell
Volume: 110 Å³/cell

Lattice parameters (Å, degrees): 4.797 4.797 4.797 90.00 90.00 90.00
Space group Pm-3m (No. 221)
One atom of each set of equivalent atoms:
Na (0.000, 0.000, 0.000) [1 per cell]
Hf (0.500, 0.500, 0.500) [1 per cell]
Mo (0.000, 0.500, 0.500) [3 per cell]

=====

Entry 3:
Density functional theory data (GGA-PBEsol) for a relaxed AlRuBr2 crystal.

Energy relative to the elements, uncorrected: 387 meV per atom
Calculated total energy: -4.11 eV per atom
Size of the total moment: 0.0 μB/cell
Volume: 282 Å³/cell

Lattice parameters (Å, degrees): 3.5631 3.5631 25.6153 90.00 90.00 120.00
Space group R-3m (No. 166, hexagonal axes)
One atom of each set of equivalent atoms:
Al (0.0000, 0.0000, 0.0000) [3 per cell]
Ru (0.0000, 0.0000, 0.5000) [3 per cell]
Br (0.0000, 0.0000, 0.2214) [6 per cell]

=====

Entry 4:
Density functional theory data (GGA-PBEsol) for a relaxed MgBeRe2 crystal.

Calculated total energy: -7.66 eV per atom
ΔE_f: 0.438 eV/atom
Size of the total moment: 0.0 μB/cell
Volume: 112 Å³/cell

Lattice parameters (Å, degrees): 3.645 3.645 8.406 90.00 90.00 90.00
Space group I4/mmm (No. 139)
One atom of each set of equivalent atoms:
Mg (0.000, 0.000, 0.000) [2 per cell]
Be (0.000, 0.000, 0.500) [2 per cell]
Re (0.000, 0.500, 0.250) [4 per cell]

=====

> Which value of calculated total energy does entry 4 give?

-7.66 eV per atom

=====

> size of the total moment of number 1 (LaMnCo2)?

11.7 μB/cell

=====

> Number 3 is which compound?

AlRuBr2

=====

> The highest volume belongs to which entry?

AlRuBr2